# 1
VASP calculation (PBE-GGA) on a relaxed structure of Ba2Hg4PdAu3.

a b c (Å): 4.9552 4.9552 11.1352
angles (deg): 90.00 90.00 90.00
Fractional coordinates of all 10 atoms:
Ba (0.0000, 0.5000, 0.2334)
Ba (0.5000, 0.0000, 0.7666)
Hg (0.0000, 0.0000, 0.5000)
Hg (0.0000, 0.5000, 0.8828)
Hg (0.5000, 0.0000, 0.1172)
Hg (0.5000, 0.5000, 0.5000)
Pd (0.5000, 0.5000, 0.0000)
Au (0.0000, 0.0000, 0.0000)
Au (0.0000, 0.5000, 0.6348)
Au (0.5000, 0.0000, 0.3652)

Properties
magnetic moment: 0.00 μB per atom
energy of formation: -418 meV per atom
density of states at the Fermi level: 5.22 states/eV/f.u.
VASP energy: -0.17828 Ry/atom

---

# 2
VASP calculation (PBE-GGA) on a relaxed structure of As3Br.

a b c (Å): 3.9713 4.8192 5.4997
angles (deg): 90.00 110.98 90.00
Fractional coordinates of all 4 atoms:
As (0.0000, 0.0000, 0.0000)
As (0.1774, 0.5000, 0.8422)
As (0.8226, 0.5000, 0.1578)
Br (0.5000, 0.0000, 0.5000)

Properties
magnetic moment: 0.00 μB per atom
E above lowest polymorph: 0.0 kJ/mol of atoms
density of states at the Fermi level: 1.25 states/eV/f.u.
VASP energy: -0.28047 Ry/atom

---

# 3
VASP calculation (PBE-GGA) on a relaxed structure of MgSiN2.

a b c (Å): 5.1625 5.1625 5.1625
angles (deg): 32.06 32.06 32.06
Fractional coordinates of all 4 atoms:
Mg (0.0000, 0.0000, 0.0000)
Si (0.5000, 0.5000, 0.5000)
N (0.2366, 0.2366, 0.2366)
N (0.7634, 0.7634, 0.7634)

Properties
magnetic moment: 0.00 μB per atom
density of states at the Fermi level: 0.00 states/eV/f.u.
VASP energy: -0.50086 Ry/atom